Here is crystalline NdHoZnTe3 at its relaxed geometry from the Open Quantum Materials Database. Energies are from GGA-PBE.

Structure (POSCAR):
```
NdHoZnTe3
1.0
-6.247 3.806 2.976
3.394 -3.756 -6.061
-3.941 -9.200 3.494
Ho Nd Te Zn
2 2 6 2
Direct
0.500 0.500 0.000
0.500 0.500 0.500
0.275 0.725 0.250
0.725 0.275 0.750
0.852 0.148 0.047
0.612 0.388 0.250
0.852 0.148 0.453
0.148 0.852 0.547
0.388 0.612 0.750
0.148 0.852 0.953
0.977 0.023 0.250
0.023 0.977 0.750
```

***

Here is crystalline NdHo2Tl3 at its relaxed geometry from the Open Quantum Materials Database. Energies are from GGA-PBE.

Structure (POSCAR):
```
NdHo2Tl3
1.0
-2.175 2.485 -1.819
-2.978 -2.264 0.469
-2.420 5.277 10.102
Ho Nd Tl
2 1 3
Direct
0.500 0.500 0.162
0.500 0.500 0.838
0.500 0.500 0.500
0.000 0.000 0.000
0.000 0.000 0.322
0.000 0.000 0.678
```

***

Final energy, respectively: -51.83 -23.11 eV/cell.